Below is an optimized crystal structure of Zr2Co, with properties calculated at the GGA-PBEsol level.

a b c (Å): 10.676 3.302 7.499
angles (deg): 90.00 125.49 90.00
Positions (direct):
Zr (0.081, 0.000, 0.363)
Zr (0.167, 0.500, 0.079)
Zr (0.333, 0.000, 0.921)
Zr (0.419, 0.500, 0.637)
Zr (0.581, 0.500, 0.363)
Zr (0.667, 0.000, 0.079)
Zr (0.833, 0.500, 0.921)
Zr (0.919, 0.000, 0.637)
Co (0.138, 0.500, 0.664)
Co (0.362, 0.000, 0.336)
Co (0.638, 0.000, 0.664)
Co (0.862, 0.500, 0.336)

Properties
Its calculated formation energy is -0.8 eV/f.u. The final energy comes out at -8.910 eV/atom. Its space group is C2/m, No. 12. The calculation puts the total magnetic moment at 0.000 μB per formula unit.